The following is a DFT calculation (PBE) of crystalline TaTiNi3 at its relaxed geometry.

a = 4.244 Å, b = 4.244 Å, c = 4.244 Å
α = 90.00°, β = 90.00°, γ = 90.00°
Sites, in units of the cell vectors:
Ni: 0.000 0.500 0.000
Ni: 0.000 0.000 0.500
Ni: 0.500 0.000 0.000
Ti: 0.000 0.000 0.000
Ta: 0.500 0.500 0.500

Summary:
- M_tot: 0.0 μB per formula unit
- Density: 8.80 g/cm3
- Electronic total energy: -6.6029 eV/atom
- Calculated formation energy: 815 meV per atom
- Offset from the most stable computed form: 5.71 eV/f.u.
- DOS at the Fermi energy: 1.205 states/eV per atom
- Calculated volume: 76.4 Å³ per cell
- Space group: Pm-3m (221)